VASP calculation (PBE) on a geometry-optimized SnPd structure.

a = 9.101 Å, b = 9.101 Å, c = 4.442 Å
α = 90.00°, β = 90.00°, γ = 90.00°
Space group I4/m (No. 87)
Inequivalent atoms, fractional coordinates:
1 Sn 0.119 0.218 0.000
2 Pd 0.096 0.381 0.500

## Properties
Energy of formation from the pure elements   -0.28 eV per atom
Total magnetization   0.000 μB/atom